Entry 1:
## ErPuNiIr (PBE)

Data for crystalline ErPuNiIr at its relaxed geometry.

* total magnetic moment: 5.343 μB/f.u.
* VASP energy: -35.34 eV/cell

Unit cell a=4.7966 b=4.7966 c=4.7966 alpha=60.00 beta=60.00 gamma=60.00
Sites, in units of the cell vectors:
Ni1 0.0000 0.0000 0.0000
Ir1 0.5000 0.5000 0.5000
Er1 0.2500 0.2500 0.2500
Pu1 0.7500 0.7500 0.7500

=====

Entry 2:
## Tl2IF (PBE)

Data for crystalline Tl2IF at its relaxed geometry.

* distance to the lowest polymorph of the same formula: 0.09 eV/f.u.
* total magnetic moment: 0.000 μB/f.u.
* formation energy from raw total energies: -1184 meV/atom
* VASP energy: -51.56 eV/cell

Unit cell a=7.3231 b=8.4722 c=10.2604 alpha=90.00 beta=90.00 gamma=115.61
Sites, in units of the cell vectors:
Tl1 0.6100 0.2200 0.3975
Tl2 0.0956 0.6913 0.2500
Tl3 0.8900 0.7800 0.8975
Tl4 0.5956 0.6913 0.2500
Tl5 0.4044 0.3087 0.7500
Tl6 0.3900 0.7800 0.6025
Tl7 0.1100 0.2200 0.1025
Tl8 0.9044 0.3087 0.7500
F1 0.9439 0.8877 0.1423
F2 0.0561 0.1123 0.8577
F3 0.4439 0.8877 0.3577
F4 0.5561 0.1123 0.6423
I1 0.1621 0.3243 0.4471
I2 0.3379 0.6757 0.9471
I3 0.8379 0.6757 0.5529
I4 0.6621 0.3243 0.0529

=====

Entry 3:
## HfFe2Sn (PBE)

Data for crystalline HfFe2Sn at its relaxed geometry.

* total magnetic moment: 0.001 μB/f.u.
* VASP energy: -31.56 eV/cell

Unit cell a=3.2062 b=4.3294 c=4.3294 alpha=90.00 beta=90.00 gamma=90.00
Sites, in units of the cell vectors:
Hf1 0.5000 0.5000 0.5000
Fe1 0.0000 0.0000 0.5000
Fe2 0.0000 0.5000 0.0000
Sn1 0.5000 0.0000 0.0000

=====

Entry 4:
## Li2DyIrO6 (PBE)

Data for crystalline Li2DyIrO6 at its relaxed geometry.

* total magnetic moment: 1.117 μB/f.u.
* formation energy from raw total energies: -1711 meV/atom
* VASP energy: -128.30 eV/cell

Unit cell a=5.3426 b=5.4802 c=7.8145 alpha=90.00 beta=90.47 gamma=90.00
Sites, in units of the cell vectors:
Li1 0.5177 0.4753 0.2431
Li2 0.0177 0.0247 0.7431
Li3 0.4823 0.5247 0.7569
Li4 0.9823 0.9753 0.2569
O1 0.1344 0.1925 0.0734
O2 0.6196 0.0721 0.2717
O3 0.3122 0.6475 0.0588
O4 0.3656 0.6925 0.4266
O5 0.8656 0.8075 0.9266
O6 0.6878 0.3525 0.9412
O7 0.3804 0.9279 0.7283
O8 0.8804 0.5721 0.2283
O9 0.8122 0.8525 0.5588
O10 0.6344 0.3075 0.5734
O11 0.1196 0.4279 0.7717
O12 0.1878 0.1475 0.4412
Dy1 0.5000 0.0000 0.0000
Dy2 0.0000 0.5000 0.5000
Ir1 0.5000 0.0000 0.5000
Ir2 0.0000 0.5000 0.0000

=====

Entry 5:
## K2SrFe (PBE)

Data for crystalline K2SrFe at its relaxed geometry.

* distance to the lowest polymorph of the same formula: 0.14 eV/f.u.
* total magnetic moment: 2.552 μB/f.u.
* VASP energy: -9.82 eV/cell

Unit cell a=10.5294 b=10.5294 c=10.5294 alpha=159.01 beta=152.35 gamma=34.97
Sites, in units of the cell vectors:
K1 0.0899 0.0899 0.0000
K2 0.4101 0.4101 0.0000
Sr1 0.7500 0.2500 0.5000
Fe1 0.2500 0.7500 0.5000

=====

Entry 6:
## LaFeCl (PBE)

Data for crystalline LaFeCl at its relaxed geometry.

* total magnetic moment: 2.248 μB/f.u.
* formation energy from raw total energies: -256 meV/atom
* VASP energy: -16.00 eV/cell

Unit cell a=7.2654 b=7.2654 c=7.2654 alpha=152.74 beta=152.84 gamma=38.86
Sites, in units of the cell vectors:
Cl1 0.0285 0.0285 0.0000
Fe1 0.3073 0.3073 0.0000
La1 0.6641 0.6641 0.0000